[1]
An optimized crystal structure of Ta8BC2. Source: the Alexandria database, functional PBE-GGA.

- DFT total energy: -11.163 eV/atom
- Space group: C2/m, No. 12
- ΔH_f (0 K): -0.26 eV per atom
- ρ: 14.5 g/cm³

abc: 4.708 6.105 6.105
angles: 74.88 91.93 91.93
Element x y z (fractional)
B: 0.000 0.000 0.000
C: 0.257 0.611 0.611
C: 0.743 0.389 0.389
Ta: 0.712 0.164 0.164
Ta: 0.757 0.612 0.612
Ta: 0.243 0.388 0.388
Ta: 0.234 0.905 0.333
Ta: 0.234 0.333 0.905
Ta: 0.766 0.095 0.667
Ta: 0.288 0.836 0.836
Ta: 0.766 0.667 0.095


[2]
An optimized crystal structure of Ta4BC2. Source: the Alexandria database, functional PBE-GGA.

- DFT total energy: -10.893 eV/atom
- Space group: P-1, No. 2
- ΔH_f (0 K): -0.53 eV per atom
- ρ: 14.0 g/cm³
- Excess energy over the best structure of this formula in the dataset: 74 meV/atom

abc: 3.188 5.979 5.522
angles: 63.53 90.14 74.62
Element x y z (fractional)
C: 0.740 0.520 0.731
C: 0.260 0.480 0.269
Ta: 0.128 0.745 0.460
Ta: 0.369 0.263 0.027
Ta: 0.631 0.737 0.973
Ta: 0.872 0.255 0.540
B: 0.000 0.000 0.000


[3]
An optimized crystal structure of Ta2BC. Source: the Alexandria database, functional PBE-GGA.

- DFT total energy: -9.682 eV/atom
- Space group: I-42d, No. 122
- ΔH_f (0 K): 0.22 eV per atom
- ρ: 10.7 g/cm³
- Excess energy over the best structure of this formula in the dataset: 885 meV/atom

abc: 4.917 4.917 6.040
angles: 65.98 65.98 90.00
Element x y z (fractional)
C: 0.750 0.250 0.500
C: 0.000 0.000 0.000
Ta: 0.375 0.361 0.750
Ta: 0.875 0.889 0.750
Ta: 0.639 0.125 0.250
Ta: 0.111 0.625 0.250
B: 0.500 0.500 0.000
B: 0.250 0.750 0.500


[4]
An optimized crystal structure of Ta4BC. Source: the Alexandria database, functional PBE-GGA.

- DFT total energy: -10.964 eV/atom
- Space group: I4_1md, No. 109
- ΔH_f (0 K): -0.41 eV per atom
- ρ: 14.1 g/cm³
- Excess energy over the best structure of this formula in the dataset: 87 meV/atom

abc: 6.137 6.137 6.137
angles: 106.18 106.18 116.27
Element x y z (fractional)
B: 0.247 0.247 0.000
B: 0.997 0.497 0.500
Ta: 0.302 0.504 0.798
Ta: 0.789 0.995 0.794
Ta: 0.745 0.039 0.294
Ta: 0.201 0.995 0.206
Ta: 0.745 0.451 0.706
Ta: 0.254 0.552 0.298
Ta: 0.254 0.957 0.702
Ta: 0.707 0.504 0.202
C: 0.753 0.753 0.000
C: 0.503 0.003 0.500